Model i:
Computed, not measured: a relaxed Y2Ag3 crystal at the GGA-PBE level of DFT.

- volume (Å³ per atom) = 22.819
- total magnetic moment (μB per atom) = 0.000

Lattice parameters (Å, degrees): 8.824 3.678 3.678 90.00 77.97 102.03
Element x y z (fractional)
Ag  0.014  0.007  0.993
Ag  0.186  0.593  0.407
Ag  0.600  0.800  0.200
Y  0.385  0.192  0.808
Y  0.815  0.408  0.592


Model ii:
Computed, not measured: a relaxed Y2Ag3 crystal at the GGA-PBE level of DFT.

- volume (Å³ per atom) = 23.819
- total magnetic moment (μB per atom) = 0.057

Lattice parameters (Å, degrees): 12.266 12.266 12.266 15.79 15.79 15.79
Each line ends with the local moment (μB).
Element x y z (fractional)
Y  0.707  0.707  0.707  0.08
Y  0.293  0.293  0.293  0.08
Ag  0.892  0.892  0.892  0.00
Ag  0.500  0.500  0.500  0.00
Ag  0.108  0.108  0.108  0.00


Out of the structures above, which one is the least stable? Solution: model ii.